(1)
{
  "formula": "CsHf2I",
  "functional": "PBE-GGA",
  "state": "relaxed",
  "e_form_raw_mev_per_atom": 1359,
  "n_ef_per_ev_atom": 1.615,
  "lattice_angstrom": [[0.0000, 3.7630, 3.7630], [3.7630, 0.0000, 3.7630], [3.7630, 3.7630, 0.0000]],
  "species": ["Cs", "Hf", "Hf", "I"],
  "frac_coords": [[0.0000, 0.0000, 0.0000], [0.2500, 0.2500, 0.2500], [0.7500, 0.7500, 0.7500], [0.5000, 0.5000, 0.5000]]
}

=====

(2)
{
  "formula": "Li3ZnGa7",
  "functional": "PBE-GGA",
  "state": "relaxed",
  "n_ef_per_ev_atom": 0.313,
  "ef_ev_per_atom": -0.140,
  "lattice_angstrom": [[1.9822, -10.5283, 0.0000], [1.9822, 10.5283, 0.0000], [0.0000, 0.0000, 9.1977]],
  "species": ["Li", "Li", "Li", "Li", "Li", "Li", "Zn", "Zn", "Ga", "Ga", "Ga", "Ga", "Ga", "Ga", "Ga", "Ga", "Ga", "Ga", "Ga", "Ga", "Ga", "Ga"],
  "frac_coords": [[0.0736, 0.9264, 0.5775], [0.0736, 0.9264, 0.9225], [0.2224, 0.7776, 0.2500], [0.7776, 0.2224, 0.7500], [0.9264, 0.0736, 0.0775], [0.9264, 0.0736, 0.4225], [0.0938, 0.9062, 0.2500], [0.9062, 0.0938, 0.7500], [0.2096, 0.7904, 0.5958], [0.2096, 0.7904, 0.9042], [0.3412, 0.6588, 0.5815], [0.3412, 0.6588, 0.9185], [0.3604, 0.6396, 0.2500], [0.4690, 0.5310, 0.6138], [0.4690, 0.5310, 0.8862], [0.5310, 0.4690, 0.1138], [0.5310, 0.4690, 0.3862], [0.6396, 0.3604, 0.7500], [0.6588, 0.3412, 0.0815], [0.6588, 0.3412, 0.4185], [0.7904, 0.2096, 0.0958], [0.7904, 0.2096, 0.4042]]
}

=====

(3)
{
  "formula": "TaSn2Mo",
  "functional": "PBE-GGA",
  "state": "relaxed",
  "n_ef_per_ev_atom": 0.575,
  "ef_ev_per_atom": 0.565,
  "lattice_angstrom": [[-2.0378, 2.0378, 10.1489], [2.0378, -2.0378, 10.1489], [2.0378, 2.0378, -10.1489]],
  "species": ["Ta", "Ta", "Sn", "Sn", "Sn", "Sn", "Mo", "Mo"],
  "frac_coords": [[0.0000, 0.0000, 0.0000], [0.7500, 0.2500, 0.5000], [0.1249, 0.6250, 0.9999], [0.3750, 0.3749, 0.4999], [0.6251, 0.1250, 0.0001], [0.8750, 0.8751, 0.5001], [0.2500, 0.7500, 0.5000], [0.5000, 0.5000, 0.0000]]
}

=====

Repeat the third record exactly.
{
  "formula": "TaSn2Mo",
  "functional": "PBE-GGA",
  "state": "relaxed",
  "n_ef_per_ev_atom": 0.575,
  "ef_ev_per_atom": 0.565,
  "lattice_angstrom": [[-2.0378, 2.0378, 10.1489], [2.0378, -2.0378, 10.1489], [2.0378, 2.0378, -10.1489]],
  "species": ["Ta", "Ta", "Sn", "Sn", "Sn", "Sn", "Mo", "Mo"],
  "frac_coords": [[0.0000, 0.0000, 0.0000], [0.7500, 0.2500, 0.5000], [0.1249, 0.6250, 0.9999], [0.3750, 0.3749, 0.4999], [0.6251, 0.1250, 0.0001], [0.8750, 0.8751, 0.5001], [0.2500, 0.7500, 0.5000], [0.5000, 0.5000, 0.0000]]
}

=====

> What is the formula in the first record?

CsHf2I